Sr4SBr5 PBE-GGA optimized geometry; crystal system = monoclinic; energy relative to the elements, uncorrected = -19.6 eV/f.u.; total DFT energy (no corrections) = -3.880 eV/atom
1.0
-1.370 -4.172 0.681
8.117 -2.677 -0.073
-1.245 4.219 8.851
Sr S Br
4 1 5
Direct
0.662 0.107 0.324 Sr
0.000 0.237 0.000 Sr
0.338 0.893 0.676 Sr
0.000 0.763 0.000 Sr
0.500 0.000 0.000 S
0.165 0.351 0.329 Br
0.169 0.851 0.338 Br
0.831 0.149 0.662 Br
0.500 0.500 0.000 Br
0.835 0.649 0.671 Br

Ac2BeSbRh6 PBE-GGA optimized geometry; crystal system = orthorhombic; energy relative to the elements, uncorrected = -4.3 eV/f.u.; total DFT energy (no corrections) = -6.452 eV/atom
1.0
-1.043 5.155 -3.888
-5.713 -2.576 -1.881
-5.515 3.482 0.586
Ac Be Sb Rh
2 1 1 6
Direct
0.750 0.250 0.500 Ac
0.250 0.750 0.500 Ac
0.500 0.500 0.000 Be
0.000 0.000 0.000 Sb
0.271 0.271 0.459 Rh
0.729 0.729 0.000 Rh
0.271 0.729 0.000 Rh
0.729 0.271 0.000 Rh
0.271 0.271 0.000 Rh
0.729 0.729 0.541 Rh

PPd2Rh2 PBE-GGA optimized geometry; crystal system = tetragonal; total DFT energy (no corrections) = -6.225 eV/atom; E_form = -0.126 eV per atom
1.0
-2.537 4.317 -3.137
-1.079 -3.816 -4.380
-3.906 -0.977 1.814
P Rh Pd
2 4 4
Direct
0.000 0.000 0.000 P
0.500 0.500 0.000 P
0.347 0.847 0.000 Rh
0.847 0.653 0.000 Rh
0.653 0.153 0.000 Rh
0.153 0.347 0.000 Rh
0.166 0.666 0.500 Pd
0.666 0.834 0.500 Pd
0.834 0.334 0.500 Pd
0.334 0.166 0.500 Pd

LaSmGe PBE-GGA optimized geometry; crystal system = trigonal; total DFT energy (no corrections) = -5.189 eV/atom; E_form = -0.434 eV per atom; energy above the most stable polymorph in this dataset = 0.49 eV/f.u.
1.0
4.516 0.000 0.000
2.258 3.911 0.000
2.258 1.304 11.367
Ge La Sm
2 2 2
Direct
0.096 0.096 0.713 Ge
0.904 0.904 0.287 Ge
0.621 0.621 0.136 La
0.379 0.379 0.864 La
0.201 0.201 0.397 Sm
0.799 0.799 0.603 Sm

ZnReHg3 PBE-GGA optimized geometry; crystal system = cubic; total DFT energy (no corrections) = -1.579 eV/atom; E_form = 1.346 eV per atom; energy above the most stable polymorph in this dataset = 1.75 eV/f.u.
1.0
-0.077 1.780 4.762
-4.947 1.071 -0.480
-1.171 -4.641 1.716
Re Zn Hg
1 1 3
Direct
0.500 0.500 0.500 Re
0.000 0.000 0.000 Zn
0.000 0.500 0.000 Hg
0.000 0.000 0.500 Hg
0.500 0.000 0.000 Hg

ReAgTe2I PBE-GGA optimized geometry; crystal system = tetragonal; energy relative to the elements, uncorrected = 3.7 eV/f.u.; total DFT energy (no corrections) = -3.891 eV/atom; energy above the most stable polymorph in this dataset = 0.00 eV/f.u.
1.0
-1.238 1.153 -4.838
2.699 -4.032 -1.651
-4.854 -3.423 0.426
I Re Te Ag
1 1 2 1
Direct
0.000 0.000 0.500 I
0.000 0.000 0.000 Re
0.000 0.500 0.000 Te
0.500 0.000 0.000 Te
0.500 0.500 0.500 Ag